Density functional theory data (PBE) for a geometry-optimized LaNb2Se structure.

calculated total energy = -56.5 eV for the cell shown
spin magnetization = 0.00 Bohr magnetons per cell
space-group type = I-42d

Cell and atoms, written as POSCAR:
```
LaNb2Se
1.0
8.1289 0.0000 0.0000
0.0000 8.1289 0.0000
4.0644 4.0644 2.8595
Nb Se La
4 2 2
Cartesian
6.0967 6.7652 2.1446
10.1611 9.4926 2.1446
5.4282 2.0322 0.7149
2.7007 6.0967 0.7149
4.0644 4.0644 0.0000
4.0644 8.1289 1.4297
8.1289 4.0644 1.4297
0.0000 0.0000 0.0000
```